Entry 1:
# V3CrW

A relaxed structure of V3CrW (PBE-GGA, the Alexandria database).

a b c (Å): 6.6118 6.9797 6.9797
angles (deg): 114.96 95.31 95.31
With the nearest neighbours (Å) after each atom.
Atoms (fractional coordinates):
V 0.5435 0.3692 0.0702  2 Cr 2.43-2.54, 3 V 2.48-2.71, 1 W 2.50
V 0.9565 0.9298 0.6308  2 Cr 2.43-2.54, 3 V 2.48-2.71, 1 W 2.50
V 0.4565 0.6308 0.9298  2 Cr 2.43-2.54, 3 V 2.48-2.71, 1 W 2.50
V 0.0435 0.0702 0.3692  2 Cr 2.43-2.54, 3 V 2.48-2.71, 1 W 2.50
V 0.0662 0.8028 0.9381  3 Cr 2.32-2.47, 1 V 2.51
V 0.4338 0.0619 0.1972  3 Cr 2.32-2.47, 1 V 2.51
V 0.9338 0.1972 0.0619  3 Cr 2.32-2.47, 1 V 2.51
V 0.5662 0.9381 0.8028  3 Cr 2.32-2.47, 1 V 2.51
V 0.3123 0.4192 0.3425  1 V 2.09
V 0.1877 0.6575 0.5808  1 V 2.09
V 0.6877 0.5808 0.6575  1 V 2.09
V 0.8123 0.3425 0.4192  1 V 2.09
Cr 0.2500 0.0878 0.9122  6 V 2.32-2.46
Cr 0.7500 0.9122 0.0878  6 V 2.32-2.46
Cr 0.2500 0.7608 0.2392  4 V 2.47-2.54, 2 W 2.47
Cr 0.7500 0.2392 0.7608  4 V 2.47-2.54, 2 W 2.47
W 0.8869 0.5969 0.1694  2 Cr 2.47-2.71, 2 V 2.50-2.62, 1 W 2.73
W 0.6131 0.8306 0.4031  2 Cr 2.47-2.71, 2 V 2.50-2.62, 1 W 2.73
W 0.1131 0.4031 0.8306  2 Cr 2.47-2.71, 2 V 2.50-2.62, 1 W 2.73
W 0.3869 0.1694 0.5969  2 Cr 2.47-2.71, 2 V 2.50-2.62, 1 W 2.73

Calculated values
The symmetry is C2/c (15). As for the energy: -191.69 eV per cell. The value obtained for the distance to the lowest polymorph of the same formula is 445 meV/atom. The formation energy is 193.8 kJ/mol of formula units.

***

Entry 2:
# V2Cr2W

A relaxed structure of V2Cr2W (PBE-GGA, the Alexandria database).

a b c (Å): 2.9765 4.2304 10.5837
angles (deg): 90.00 97.79 90.00
With the nearest neighbours (Å) after each atom.
Atoms (fractional coordinates):
V 0.0481 0.7500 0.0964  8 Cr 2.49-2.59
V 0.9519 0.2500 0.9036  8 Cr 2.49-2.59
V 0.2479 0.7500 0.4949  2 Cr 2.55-2.56, 4 V 2.59, 2 W 2.66-2.67
V 0.7521 0.2500 0.5051  2 Cr 2.55-2.56, 4 V 2.59, 2 W 2.66-2.67
Cr 0.6484 0.7500 0.2972  4 V 2.55-2.58, 4 W 2.59
Cr 0.3516 0.2500 0.7028  4 V 2.55-2.58, 4 W 2.59
Cr 0.4526 0.7500 0.9051  6 V 2.49-2.59, 2 W 2.56-2.57
Cr 0.5474 0.2500 0.0949  6 V 2.49-2.59, 2 W 2.56-2.57
W 0.8529 0.7500 0.7059  6 Cr 2.56-2.59, 2 V 2.66-2.67
W 0.1471 0.2500 0.2941  6 Cr 2.56-2.59, 2 V 2.66-2.67

Calculated values
The symmetry is P2_1/m (11). As for the energy: -101.56 eV per cell. The formation energy is -32.9 kJ/mol of formula units.

***

Entry 3:
# V4CrW7

A relaxed structure of V4CrW7 (PBE-GGA, the Alexandria database).

a b c (Å): 2.6790 6.8058 13.4259
angles (deg): 126.62 101.89 97.96
With the nearest neighbours (Å) after each atom.
Atoms (fractional coordinates):
V 0.4647 0.2856 0.7451  4 W 2.58-2.86, 3 V 2.67-2.68, 1 Cr 2.79
V 0.4158 0.7999 0.2558  5 W 2.64-2.74, 3 V 2.68-2.69
V 0.0326 0.7930 0.9170  5 W 2.63-2.86, 3 V 2.67-2.68
V 0.0961 0.2915 0.4175  4 W 2.63-2.70, 1 Cr 2.65, 3 V 2.68-2.69
Cr 0.7361 0.7816 0.5767  4 W 2.57-2.74, 2 V 2.65-2.79, 2 Cr 2.68
W 0.7523 0.5457 0.3394  1 Cr 2.59, 2 V 2.67-2.72, 5 W 2.68-2.74
W 0.1349 0.5375 0.6629  3 V 2.63-2.86, 4 W 2.66-2.73, 1 Cr 2.74
W 0.3612 0.5471 0.9996  4 V 2.65-2.96, 5 W 2.68-2.79
W 0.7651 0.2989 0.0878  6 W 2.68-2.79, 2 V 2.70-2.80
W 0.2292 0.0369 0.8266  1 Cr 2.57, 2 V 2.58-2.63, 5 W 2.66-2.70
W 0.0742 0.0423 0.1708  3 V 2.65-2.72, 5 W 2.68-2.74
W 0.4379 0.0400 0.5008  3 V 2.62-2.70, 1 Cr 2.64, 4 W 2.68-2.73

Calculated values
The symmetry is P1 (1). As for the energy: -135.92 eV per cell. The formation energy is 81.6 kJ/mol of formula units.

***

Entry 4:
# V7Cr2W2

A relaxed structure of V7Cr2W2 (PBE-GGA, the Alexandria database).

a b c (Å): 7.2970 4.8814 4.8814
angles (deg): 119.12 87.58 87.58
With the nearest neighbours (Å) after each atom.
Atoms (fractional coordinates):
V 0.1688 0.0643 0.5433  2 Cr 2.34-2.54, 3 V 2.48-2.57
V 0.8312 0.4567 0.9357  2 Cr 2.34-2.54, 3 V 2.48-2.57
V 0.8312 0.9357 0.4567  2 Cr 2.34-2.54, 3 V 2.48-2.57
V 0.1688 0.5433 0.0643  2 Cr 2.34-2.54, 3 V 2.48-2.57
V 0.0000 0.0000 0.0000  2 Cr 2.45, 6 V 2.52-2.66
V 0.3443 0.0196 0.0196  2 V 2.26-2.52
V 0.6557 0.9804 0.9804  2 V 2.26-2.52
Cr 0.8390 0.4560 0.4560  5 V 2.34-2.54, 1 Cr 2.43
Cr 0.1610 0.5440 0.5440  5 V 2.34-2.54, 1 Cr 2.43
W 0.5000 0.3337 0.6663  10 V 2.75-3.06, 3 W 2.80-2.85, 2 Cr 2.83
W 0.5000 0.6663 0.3337  10 V 2.75-3.06, 3 W 2.80-2.85, 2 Cr 2.83

Calculated values
The symmetry is C2/m (12). As for the energy: -108.19 eV per cell. The value obtained for the distance to the lowest polymorph of the same formula is 0 meV/atom. The formation energy is 76.7 kJ/mol of formula units.

***

Repeat the third record exactly.
# V4CrW7

A relaxed structure of V4CrW7 (PBE-GGA, the Alexandria database).

a b c (Å): 2.6790 6.8058 13.4259
angles (deg): 126.62 101.89 97.96
With the nearest neighbours (Å) after each atom.
Atoms (fractional coordinates):
V 0.4647 0.2856 0.7451  4 W 2.58-2.86, 3 V 2.67-2.68, 1 Cr 2.79
V 0.4158 0.7999 0.2558  5 W 2.64-2.74, 3 V 2.68-2.69
V 0.0326 0.7930 0.9170  5 W 2.63-2.86, 3 V 2.67-2.68
V 0.0961 0.2915 0.4175  4 W 2.63-2.70, 1 Cr 2.65, 3 V 2.68-2.69
Cr 0.7361 0.7816 0.5767  4 W 2.57-2.74, 2 V 2.65-2.79, 2 Cr 2.68
W 0.7523 0.5457 0.3394  1 Cr 2.59, 2 V 2.67-2.72, 5 W 2.68-2.74
W 0.1349 0.5375 0.6629  3 V 2.63-2.86, 4 W 2.66-2.73, 1 Cr 2.74
W 0.3612 0.5471 0.9996  4 V 2.65-2.96, 5 W 2.68-2.79
W 0.7651 0.2989 0.0878  6 W 2.68-2.79, 2 V 2.70-2.80
W 0.2292 0.0369 0.8266  1 Cr 2.57, 2 V 2.58-2.63, 5 W 2.66-2.70
W 0.0742 0.0423 0.1708  3 V 2.65-2.72, 5 W 2.68-2.74
W 0.4379 0.0400 0.5008  3 V 2.62-2.70, 1 Cr 2.64, 4 W 2.68-2.73

Calculated values
The symmetry is P1 (1). As for the energy: -135.92 eV per cell. The formation energy is 81.6 kJ/mol of formula units.

***

- What is the formula in the third record?
  V4CrW7

***

- Look up the energy of the third one.
  -135.92 eV per cell

***

- Which formula does entry 1 have?
  V3CrW